Run w
VASP calculation (PBE) on a relaxed RbSiSn crystal.

```
data_RbSiSn
_cell_length_a 14.1189
_cell_length_b 5.6679
_cell_length_c 6.0931
_cell_angle_alpha 90.00
_cell_angle_beta 109.17
_cell_angle_gamma 90.00
_space_group_name_H-M_alt 'C 1 2/m 1'
_space_group_IT_number 12
loop_
_space_group_symop_operation_xyz
'x,y,z'
'-x,-y,-z'
'-x,y,-z'
'x,-y,z'
'x+1/2,y+1/2,z'
'-x+1/2,-y+1/2,-z'
'-x+1/2,y+1/2,-z'
'x+1/2,-y+1/2,z'
loop_
_atom_site_label
_atom_site_type_symbol
_atom_site_fract_x
_atom_site_fract_y
_atom_site_fract_z
Rb1 Rb 0.1777 0.0000 0.2105
Si1 Si 0.0000 0.1990 0.5000
Sn1 Sn 0.0659 0.5000 0.8505
```

Calculated values
As for the crystal system: monoclinic. The magnetization is 0.00 Bohr magnetons per cell.

=====

Run x
VASP calculation (PBE) on a relaxed RbSiSn crystal.

```
data_RbSiSn
_cell_length_a 4.4590
_cell_length_b 13.3299
_cell_length_c 7.2454
_cell_angle_alpha 90.00
_cell_angle_beta 90.00
_cell_angle_gamma 90.00
_space_group_name_H-M_alt 'A m m 2'
_space_group_IT_number 38
loop_
_space_group_symop_operation_xyz
'x,y,z'
'-x,-y,z'
'-x,y,z'
'x,-y,z'
'x,y+1/2,z+1/2'
'-x,-y+1/2,z+1/2'
'-x,y+1/2,z+1/2'
'x,-y+1/2,z+1/2'
loop_
_atom_site_label
_atom_site_type_symbol
_atom_site_fract_x
_atom_site_fract_y
_atom_site_fract_z
Rb1 Rb 0.0000 0.1551 0.0000
Si1 Si 0.0000 0.0000 0.4219
Si2 Si 0.5000 0.0000 0.2588
Sn1 Sn 0.5000 0.1101 0.5761
```

Calculated values
As for the crystal system: orthorhombic. The magnetization is 0.00 Bohr magnetons per cell.

=====

Run y
VASP calculation (PBE) on a relaxed RbSiSn crystal.

```
data_RbSiSn
_cell_length_a 5.7227
_cell_length_b 6.1172
_cell_length_c 6.3956
_cell_angle_alpha 71.60
_cell_angle_beta 73.18
_cell_angle_gamma 83.43
_space_group_name_H-M_alt 'P -1'
_space_group_IT_number 2
loop_
_space_group_symop_operation_xyz
'x,y,z'
'-x,-y,-z'
loop_
_atom_site_label
_atom_site_type_symbol
_atom_site_fract_x
_atom_site_fract_y
_atom_site_fract_z
Rb1 Rb 0.2035 0.1978 0.0329
Si1 Si 0.2058 0.5517 0.4147
Sn1 Sn 0.4310 0.7575 0.6094
```

Calculated values
As for the crystal system: triclinic. The magnetization is 0.00 Bohr magnetons per cell.

=====

Ranking the structures above by stability puts run x first and run w last.